Entry 1:
# NaSi GGA-PBE optimized geometry
data_NaSi
_space_group_name_H-M_alt 'P 1'
_space_group_IT_number 1
_cell_length_a 3.580
_cell_length_b 8.833
_cell_length_c 9.262
_cell_angle_alpha 90.00
_cell_angle_beta 90.00
_cell_angle_gamma 90.00
loop_
_space_group_symop_operation_xyz
'x,y,z'
loop_
_atom_site_label
_atom_site_type_symbol
_atom_site_fract_x
_atom_site_fract_y
_atom_site_fract_z
Si1 Si 0.000 0.139 0.500
Si2 Si 0.500 0.500 0.872
Si3 Si 0.000 0.639 0.000
Na1 Na 0.500 0.690 0.262
Na2 Na 0.000 0.500 0.607
Si4 Si 0.000 0.361 0.000
Na3 Na 0.000 0.000 0.107
Na4 Na 0.500 0.190 0.762
Na5 Na 0.500 0.310 0.262
Na6 Na 0.500 0.810 0.762
Si5 Si 0.000 0.861 0.500
Si6 Si 0.500 0.000 0.372
# Formation energy (no corrections) (eV/f.u.): 0.2
# SG: Amm2
# Relative energy among the computed polymorphs (eV/f.u.): 0.225
# Total moment (μB per cell): 0.0
# Uncorrected energy (eV/atom): -3.272

***

Entry 2:
# Dy2ZnTc3 GGA-PBE optimized geometry
data_Dy2ZnTc3
_space_group_name_H-M_alt 'P 1'
_space_group_IT_number 1
_cell_length_a 5.284
_cell_length_b 5.284
_cell_length_c 5.500
_cell_angle_alpha 90.04
_cell_angle_beta 118.70
_cell_angle_gamma 119.97
loop_
_space_group_symop_operation_xyz
'x,y,z'
loop_
_atom_site_label
_atom_site_type_symbol
_atom_site_fract_x
_atom_site_fract_y
_atom_site_fract_z
Tc1 Tc 0.500 0.000 0.500
Tc2 Tc 0.000 0.000 0.500
Tc3 Tc 0.500 0.500 0.500
Dy1 Dy 0.757 0.379 0.136
Dy2 Dy 0.243 0.621 0.864
Zn1 Zn 0.000 0.000 0.000
# Energy of formation from the pure elements (eV per atom): -0.239
# SG: R-3m
# Total moment (μB per cell): 0.0
# Uncorrected energy (eV/atom): -7.168

***

For the records above, the corresponding mass density values read 1.74 10.27 g cm⁻³.